Entry 1:
First-principles (PBE-GGA) data for a geometry-optimized Er6InHg5 structure, as listed in the Alexandria database.

a = 9.0575 Å, b = 9.0575 Å, c = 5.2213 Å
α = 106.56°, β = 106.56°, γ = 48.27°
Fractional positions:
Er (0.0798, 0.5836, 0.3314)
Er (0.2458, 0.7542, 0.0000)
Er (0.4164, 0.9202, 0.6686)
Er (0.5836, 0.0798, 0.3314)
Er (0.7542, 0.2458, 0.0000)
Er (0.9202, 0.4164, 0.6686)
In (0.5000, 0.5000, 0.5000)
Hg (0.0000, 0.0000, 0.5000)
Hg (0.1664, 0.1664, 0.1665)
Hg (0.3363, 0.3363, 0.8357)
Hg (0.6637, 0.6637, 0.1643)
Hg (0.8336, 0.8336, 0.8335)

Values from the calculation:
- magnetization (μB/f.u.) = 0.0
- N(E_F) (states/eV/atom) = 0.8767
- DFT formation energy (eV/atom) = -0.471

***

Entry 2:
First-principles (PBE-GGA) data for a geometry-optimized ErInHg structure, as listed in the Alexandria database.

a = 6.3717 Å, b = 6.3717 Å, c = 6.3717 Å
α = 147.27°, β = 147.27°, γ = 46.96°
Fractional positions:
Er (0.0000, 0.0000, 0.0000)
In (0.6784, 0.6784, 0.0000)
Hg (0.3401, 0.3401, 0.0000)

Values from the calculation:
- magnetization (μB/f.u.) = 0.2
- N(E_F) (states/eV/atom) = 0.6234
- DFT formation energy (eV/atom) = -0.303

***

Entry 3:
First-principles (PBE-GGA) data for a geometry-optimized Er2InHg6 structure, as listed in the Alexandria database.

a = 6.6803 Å, b = 6.6803 Å, c = 5.7611 Å
α = 90.15°, β = 90.15°, γ = 60.10°
Fractional positions:
Er (0.1671, 0.1671, 0.3156)
Er (0.8329, 0.8329, 0.6844)
In (0.5000, 0.5000, 0.5000)
Hg (0.1292, 0.6857, 0.1813)
Hg (0.3143, 0.8708, 0.8187)
Hg (0.3148, 0.3148, 0.8182)
Hg (0.6852, 0.6852, 0.1818)
Hg (0.6857, 0.1292, 0.1813)
Hg (0.8708, 0.3143, 0.8187)

Values from the calculation:
- distance to the lowest polymorph of the same formula (meV per atom) = 91
- magnetization (μB/f.u.) = 0.0
- N(E_F) (states/eV/atom) = 0.5994
- DFT formation energy (eV/atom) = -0.153

***

Entry 4:
First-principles (PBE-GGA) data for a geometry-optimized Er3InHg12 structure, as listed in the Alexandria database.

a = 4.4615 Å, b = 4.7181 Å, c = 18.5613 Å
α = 90.00°, β = 90.00°, γ = 90.00°
Fractional positions:
Er (0.0000, 0.0000, 0.0000)
Er (0.0000, 0.0000, 0.2515)
Er (0.0000, 0.0000, 0.7485)
In (0.0000, 0.0000, 0.5000)
Hg (0.0000, 0.5000, 0.1225)
Hg (0.0000, 0.5000, 0.3694)
Hg (0.0000, 0.5000, 0.6306)
Hg (0.0000, 0.5000, 0.8775)
Hg (0.5000, 0.0000, 0.1234)
Hg (0.5000, 0.0000, 0.3716)
Hg (0.5000, 0.0000, 0.6284)
Hg (0.5000, 0.0000, 0.8766)
Hg (0.5000, 0.5000, 0.0000)
Hg (0.5000, 0.5000, 0.2412)
Hg (0.5000, 0.5000, 0.5000)
Hg (0.5000, 0.5000, 0.7588)

Values from the calculation:
- magnetization (μB/f.u.) = 0.0
- N(E_F) (states/eV/atom) = 0.4786
- DFT formation energy (eV/atom) = -0.219

***

Entry 5:
First-principles (PBE-GGA) data for a geometry-optimized Er2InHg4 structure, as listed in the Alexandria database.

a = 8.5087 Å, b = 8.5087 Å, c = 8.5087 Å
α = 142.62°, β = 142.62°, γ = 53.89°
Fractional positions:
Er (0.1078, 0.1078, 0.0000)
Er (0.8922, 0.8922, 0.0000)
In (0.5000, 0.5000, 0.0000)
Hg (0.0000, 0.5000, 0.5000)
Hg (0.3029, 0.3029, 0.0000)
Hg (0.5000, 0.0000, 0.5000)
Hg (0.6971, 0.6971, 0.0000)

Values from the calculation:
- distance to the lowest polymorph of the same formula (meV per atom) = 381
- magnetization (μB/f.u.) = 0.0
- N(E_F) (states/eV/atom) = 0.9466
- DFT formation energy (eV/atom) = 0.107

***

Entry 6:
First-principles (PBE-GGA) data for a geometry-optimized Er6In6Hg structure, as listed in the Alexandria database.

a = 6.2940 Å, b = 6.2940 Å, c = 10.4602 Å
α = 90.00°, β = 90.00°, γ = 120.00°
Fractional positions:
Er (0.0000, 0.0000, 0.1827)
Er (0.0000, 0.0000, 0.8173)
Er (0.3333, 0.6667, 0.0000)
Er (0.3333, 0.6667, 0.5000)
Er (0.6667, 0.3333, 0.0000)
Er (0.6667, 0.3333, 0.5000)
In (0.0000, 0.5000, 0.2499)
In (0.0000, 0.5000, 0.7501)
In (0.5000, 0.0000, 0.2499)
In (0.5000, 0.0000, 0.7501)
In (0.5000, 0.5000, 0.2499)
In (0.5000, 0.5000, 0.7501)
Hg (0.0000, 0.0000, 0.5000)

Values from the calculation:
- magnetization (μB/f.u.) = 0.0
- N(E_F) (states/eV/atom) = 0.6628
- DFT formation energy (eV/atom) = -0.286